{"formula": "Zn2TcSe", "functional": "PBE", "state": "relaxed", "cell": [[8.5421, -0.1295, -0.0761], [8.0564, 2.8425, -0.0761], [8.0564, 1.3168, 2.5203]], "species": ["Se", "Tc", "Zn", "Zn"], "fractional_positions": [[0.2500, 0.2500, 0.2500], [0.7500, 0.7500, 0.7500], [0.0035, 0.0035, 0.0035], [0.4965, 0.4965, 0.4965]], "raw_formation_energy_kcal_per_mol_atoms": 6.38, "dos_at_fermi_per_ev_atom": 0.536, "polymorph_energy_kj_per_mol_atoms": 24.0}

{"formula": "LiSiNO", "functional": "PBE", "state": "relaxed", "cell": [[-0.0693, 2.9303, -0.2779], [-2.2986, -1.6169, -0.8780], [-1.2816, -1.0100, 5.2274]], "species": ["Li", "Si", "N", "O"], "fractional_positions": [[0.4639, 0.6156, 0.0795], [0.4417, 0.1052, 0.5469], [0.1868, 0.4779, 0.6647], [0.2365, 0.0021, 0.2387]], "raw_formation_energy_kcal_per_mol_atoms": -40.31, "dos_at_fermi_per_ev_atom": 0.000, "polymorph_energy_kj_per_mol_atoms": 10.6}

{"formula": "CuWBr2", "functional": "PBE", "state": "relaxed", "cell": [[-3.8756, 6.9185, 1.5979], [-6.9444, 2.7763, 3.0834], [6.9689, -4.0975, -0.2906]], "species": ["Br", "Br", "Cu", "W"], "fractional_positions": [[0.1116, 0.1116, 0.0000], [0.3884, 0.3884, 0.0000], [0.7500, 0.2500, 0.5000], [0.2500, 0.7500, 0.5000]], "raw_formation_energy_kcal_per_mol_atoms": 8.23, "dos_at_fermi_per_ev_atom": 0.565, "polymorph_energy_kj_per_mol_atoms": 8.2}

{"formula": "Rb2BOsBr6", "functional": "PBE", "state": "relaxed", "cell": [[7.4981, 0.0000, 0.0000], [0.0000, 7.4981, 0.0000], [3.7490, 3.7490, 5.1656]], "species": ["B", "Os", "Br", "Br", "Br", "Br", "Br", "Br", "Rb", "Rb"], "fractional_positions": [[0.5000, 0.5000, 0.0000], [0.0000, 0.0000, 0.0000], [0.2470, 0.2470, 0.5059], [0.7530, 0.7530, 0.4941], [0.2403, 0.2403, 0.0000], [0.7597, 0.7597, 0.0000], [0.7597, 0.2403, 0.0000], [0.2403, 0.7597, 0.0000], [0.7500, 0.2500, 0.5000], [0.2500, 0.7500, 0.5000]], "raw_formation_energy_kcal_per_mol_atoms": -8.10, "dos_at_fermi_per_ev_atom": 0.736}

{"formula": "HgC2", "functional": "PBE", "state": "relaxed", "cell": [[6.2764, -0.4253, 6.2634], [7.0458, 2.1838, 3.7548], [-1.4808, -0.2581, 3.3812]], "species": ["Hg", "C", "C"], "fractional_positions": [[0.5000, 0.5000, 0.5000], [0.2500, 0.2500, 0.7500], [0.7500, 0.7500, 0.2500]], "dos_at_fermi_per_ev_atom": 0.396, "polymorph_energy_kj_per_mol_atoms": 20.1, "ef_ev_per_atom": 0.746}

{"formula": "NiAg2Ir", "functional": "PBE", "state": "relaxed", "cell": [[-3.4913, -1.3561, 2.3947], [-0.7486, 1.7414, 4.0212], [-3.4542, 2.7256, 0.6339]], "species": ["Ni", "Ir", "Ag", "Ag"], "fractional_positions": [[0.0000, 0.0000, 0.0000], [0.5000, 0.5000, 0.5000], [0.2500, 0.2500, 0.2500], [0.7500, 0.7500, 0.7500]], "dos_at_fermi_per_ev_atom": 1.818, "polymorph_energy_kj_per_mol_atoms": 38.1, "ef_ev_per_atom": 0.598}

{"formula": "Ca2LaCo", "functional": "PBE", "state": "relaxed", "cell": [[10.2906, 0.0000, 0.0000], [0.0000, 10.2906, 0.0000], [5.1453, 5.1453, 2.5580]], "species": ["Ca", "Ca", "Ca", "Ca", "Co", "Co", "La", "La"], "fractional_positions": [[0.4903, 0.1250, 0.2500], [0.2597, 0.6250, 0.2500], [0.3750, 0.5097, 0.7500], [0.8750, 0.7403, 0.7500], [0.5000, 0.5000, 0.0000], [0.2500, 0.7500, 0.5000], [0.0000, 0.0000, 0.0000], [0.7500, 0.2500, 0.5000]], "dos_at_fermi_per_ev_atom": 1.177, "polymorph_energy_kj_per_mol_atoms": 20.8, "ef_ev_per_atom": 0.252}

{"formula": "V3As", "functional": "PBE", "state": "relaxed", "cell": [[4.7358, 0.0000, 0.0000], [0.0000, 4.7358, 0.0000], [0.0000, 0.0000, 4.7358]], "species": ["V", "V", "V", "V", "V", "V", "As", "As"], "fractional_positions": [[0.5000, 0.2500, 0.0000], [0.5000, 0.7500, 0.0000], [0.2500, 0.0000, 0.5000], [0.7500, 0.0000, 0.5000], [0.0000, 0.5000, 0.2500], [0.0000, 0.5000, 0.7500], [0.5000, 0.5000, 0.5000], [0.0000, 0.0000, 0.0000]], "dos_at_fermi_per_ev_atom": 0.608, "polymorph_energy_kj_per_mol_atoms": 0.0, "ef_ev_per_atom": -0.452}

Calculated total DFT energy (no corrections), -3.823; -6.903; -4.742; -3.339; -5.504; -4.488; -3.758; -8.453 eV/atom (same order as the records).